[1]
YAlSbTe2: optimized geometry, PBE-GGA.

Cell and atoms, written as POSCAR:
```
YAlSbTe2
1.0
5.3704 0.0000 0.0000
0.0000 5.3704 0.0000
0.0000 0.0000 5.2004
Y Sb Te Al
1 1 2 1
direct
0.5000 0.5000 0.5000
0.0000 0.0000 0.5000
0.0000 0.5000 0.0000
0.5000 0.0000 0.0000
0.0000 0.0000 0.0000
```

Results
ΔE_f (raw), eV/atom: -0.12
V, Å³ per atom: 30.00
Magnetic moment, μB per cell: 0.00
Calculated total energy, eV per atom: -4.238

***

[2]
ScCdNi: optimized geometry, PBE-GGA.

Cell and atoms, written as POSCAR:
```
ScCdNi
1.0
5.7258 0.0000 0.0000
0.0000 7.7998 0.3321
0.0000 -3.1661 4.8353
Sc Cd Ni
4 4 4
direct
0.1228 0.3842 0.0038
0.1670 0.8915 0.3693
0.6670 0.1085 0.6307
0.6228 0.6158 0.9962
0.8354 0.6802 0.5182
0.8778 0.0288 0.0652
0.3778 0.9712 0.9348
0.3354 0.3198 0.4818
0.8757 0.3554 0.5564
0.3757 0.6446 0.4436
0.6251 0.3451 0.1374
0.1251 0.6549 0.8626
```

Results
ΔE_f, eV/atom: -0.2192
V, Å³ per atom: 18.50
Magnetic moment, μB per cell: 0.00
Calculated total energy, eV per atom: -4.562

***

[3]
Gd3Ga5Te12: optimized geometry, PBE-GGA.

Cell and atoms, written as POSCAR:
```
Gd3Ga5Te12
1.0
14.9490 0.0000 0.0000
-4.9830 14.0940 0.0000
-4.9830 -7.0470 12.2058
Gd Ga Te
12 20 48
direct
0.7500 0.3750 0.1250
0.8750 0.7500 0.1250
0.3750 0.7500 0.6250
0.2500 0.1250 0.3750
0.8750 0.1250 0.2500
0.3750 0.6250 0.2500
0.6250 0.3750 0.7500
0.1250 0.8750 0.7500
0.7500 0.8750 0.6250
0.6250 0.2500 0.3750
0.1250 0.2500 0.8750
0.2500 0.6250 0.8750
0.1250 0.3750 0.2500
0.0000 0.5000 0.0000
0.0000 0.0000 0.0000
0.3750 0.2500 0.1250
0.5000 0.0000 0.5000
0.5000 0.5000 0.0000
0.1250 0.7500 0.3750
0.7500 0.1250 0.8750
0.7500 0.6250 0.3750
0.3750 0.1250 0.7500
0.6250 0.8750 0.2500
0.5000 0.5000 0.5000
0.5000 0.0000 0.0000
0.0000 0.0000 0.5000
0.2500 0.3750 0.6250
0.2500 0.8750 0.1250
0.0000 0.5000 0.5000
0.8750 0.2500 0.6250
0.6250 0.7500 0.8750
0.8750 0.6250 0.7500
0.7123 0.1264 0.0367
0.3245 0.5367 0.4103
0.9633 0.3736 0.2877
0.5367 0.2123 0.1264
0.5859 0.7123 0.6755
0.9633 0.5897 0.1755
0.3245 0.7877 0.4141
0.0897 0.9141 0.1264
0.5897 0.9633 0.6755
0.7123 0.5859 0.1755
0.7877 0.4633 0.3736
0.8245 0.9103 0.0367
0.1264 0.7123 0.5367
0.3736 0.4103 0.0859
0.0859 0.9103 0.3736
0.4141 0.1264 0.5897
0.0859 0.1755 0.2123
0.4633 0.6755 0.0897
0.8245 0.9141 0.2877
0.1264 0.4141 0.0897
0.3736 0.9633 0.7877
0.5897 0.6264 0.4141
0.9103 0.8245 0.5367
0.7877 0.3245 0.9141
0.4103 0.3736 0.5859
0.0897 0.1755 0.4633
0.2123 0.6755 0.0859
0.1755 0.0859 0.7123
0.6264 0.0367 0.2123
0.8736 0.5859 0.9103
0.5367 0.3245 0.9103
0.5859 0.8736 0.4103
0.9141 0.8245 0.7877
0.9141 0.0897 0.6264
0.8736 0.2877 0.4633
0.1755 0.0897 0.9633
0.6264 0.5897 0.9141
0.4103 0.0367 0.3245
0.2877 0.4141 0.8245
0.2123 0.5367 0.6264
0.9103 0.0859 0.8736
0.6755 0.2123 0.5859
0.4633 0.7877 0.8736
0.0367 0.4103 0.8245
0.4141 0.2877 0.3245
0.0367 0.6264 0.7123
0.6755 0.4633 0.5897
0.2877 0.8736 0.9633
```

Results
ΔE_f (raw), eV/atom: -0.65
V, Å³ per atom: 32.15
Magnetic moment, μB per cell: 83.49
Calculated total energy, eV per atom: -5.404

***

[4]
BaRhBr2: optimized geometry, PBE-GGA.

Cell and atoms, written as POSCAR:
```
BaRhBr2
1.0
6.5632 -0.0114 0.0000
3.5594 5.5142 0.0000
-5.0613 -2.7514 3.1446
Rh Ba Br
1 1 2
direct
0.5000 0.5000 0.0000
0.7500 0.2500 0.5000
0.0000 0.0000 0.0000
0.2500 0.7500 0.5000
```

Results
ΔE_f (raw), eV/atom: -0.58
V, Å³ per atom: 28.48
Magnetic moment, μB per cell: 1.05
Calculated total energy, eV per atom: -3.735